Entry 1:
CoGeSeO | OQMD via LeMat-Bulk | PBE with a Hubbard U | relaxed; offset from the most stable computed form = 187 meV/atom; total magnetization = 2.4 μB per formula unit
1.0
-0.980 1.474 -2.963
-2.732 -2.103 -0.143
-6.069 7.494 5.735
Co Ge Se O
2 2 2 2
Cartesian
-1.418 0.579 -2.258
-2.294 -1.209 -0.848
-5.205 2.518 -0.041
-4.575 4.346 2.670
-1.846 0.976 0.091
-7.934 5.888 2.538
-3.566 3.100 1.717
-6.215 3.764 0.913

***

Entry 2:
CoGeSeO | OQMD via LeMat-Bulk | PBE with a Hubbard U | relaxed; offset from the most stable computed form = 109 meV/atom; total magnetization = 3.0 μB per formula unit
1.0
5.991 0.000 0.000
0.000 8.030 0.000
0.000 0.000 5.757
Se Co Ge O
4 4 4 4
Cartesian
5.875 2.865 2.536
3.112 2.865 5.414
2.879 5.164 2.536
0.117 5.164 5.414
5.389 7.520 0.408
3.597 7.520 3.287
0.602 0.510 3.287
2.394 0.510 0.408
0.333 5.471 2.747
3.329 2.559 2.747
5.658 2.559 5.625
2.663 5.471 5.625
3.964 0.169 1.506
5.023 0.169 4.384
0.968 7.861 1.506
2.027 7.861 4.384

***

Entry 3:
CoGeSeO | OQMD via LeMat-Bulk | PBE with a Hubbard U | relaxed; offset from the most stable computed form = 0 meV/atom; total magnetization = 3.0 μB per formula unit
1.0
7.670 0.000 0.000
0.000 6.974 0.000
0.000 0.000 5.702
Se Ge Co O
4 4 4 4
Cartesian
3.108 4.342 3.518
4.562 2.632 0.667
0.727 4.342 0.667
6.943 2.632 3.518
4.696 6.199 2.531
6.810 6.199 5.382
0.860 0.775 2.531
2.975 0.775 5.382
6.980 2.369 0.227
3.145 4.606 0.227
0.690 4.606 3.078
4.525 2.369 3.078
3.652 6.381 0.852
4.018 0.593 3.703
7.487 0.593 0.852
0.183 6.381 3.703

***

Entry 4:
CoGeSeO | OQMD via LeMat-Bulk | PBE with a Hubbard U | relaxed; offset from the most stable computed form = 308 meV/atom; total magnetization = 2.1 μB per formula unit
1.0
4.608 0.000 0.000
0.000 4.608 0.000
0.000 0.000 7.095
Ge O Co Se
2 2 2 2
Cartesian
2.304 2.304 1.066
0.000 0.000 6.029
0.000 0.000 0.643
2.304 2.304 6.453
2.304 2.304 4.500
0.000 0.000 2.595
2.304 0.000 3.548
0.000 2.304 3.548

***

Entry 5:
CoGe2TeO6 | OQMD via LeMat-Bulk | PBE with a Hubbard U | relaxed; DFT total energy = -5.601 eV/atom; total magnetization = 3.0 μB per formula unit
1.0
4.724 -2.722 0.000
4.724 2.722 0.000
-3.278 0.000 4.620
Co O Ge Te
1 6 2 1
Cartesian
4.724 0.000 0.000
1.862 -1.401 3.140
4.308 -1.401 1.480
6.680 0.000 0.777
1.862 1.401 3.140
-0.509 0.000 3.843
4.308 1.401 1.480
4.809 0.000 3.269
1.362 0.000 1.351
-1.639 0.000 2.310

***

Entry 6:
ZrCo2Ge4O12 | OQMD via LeMat-Bulk | PBE with a Hubbard U | relaxed; DFT total energy = -6.893 eV/atom; total magnetization = 6.0 μB per formula unit
1.0
9.553 0.000 0.000
0.000 9.553 0.000
0.000 0.000 4.778
O Zr Co Ge
24 2 4 8
Cartesian
8.408 3.631 0.883
3.926 6.469 1.256
7.861 0.850 1.256
6.469 5.627 1.256
8.703 1.693 3.522
3.631 1.146 0.883
5.922 8.408 0.883
5.627 3.084 1.256
3.926 3.084 3.522
3.631 8.408 3.895
3.084 3.926 1.256
1.693 0.850 3.522
1.693 8.703 1.256
1.146 5.922 0.883
5.922 1.146 3.895
8.703 7.861 1.256
3.084 5.627 3.522
7.861 8.703 3.522
0.850 1.693 1.256
0.850 7.861 3.522
1.146 3.631 3.895
8.408 5.922 3.895
6.469 3.926 3.522
5.627 6.469 3.522
4.777 4.777 2.389
0.000 0.000 2.389
7.165 2.388 2.389
7.165 7.165 2.389
2.388 2.388 2.389
2.388 7.165 2.389
7.335 4.777 0.000
0.000 6.995 0.000
4.777 7.335 0.000
6.995 0.000 0.000
0.000 2.558 0.000
4.777 2.218 0.000
2.218 4.777 0.000
2.558 0.000 0.000